# 1
DFT (PBE) results for a relaxed LuPuAlTl crystal.

```
data_LuPuAlTl
_space_group_name_H-M_alt 'F -4 3 m'
_space_group_IT_number 216
_space_group_name_Hall 'F -4 2 3'
_cell_length_a 7.374
_cell_length_b 7.374
_cell_length_c 7.374
_cell_angle_alpha 90.00
_cell_angle_beta 90.00
_cell_angle_gamma 90.00
loop_
_atom_site_label
_atom_site_fract_x
_atom_site_fract_y
_atom_site_fract_z
Lu1 0.000 0.000 0.000
Pu1 0.000 0.000 0.500
Al1 0.250 0.250 0.750
Tl1 0.250 0.250 0.250
```

Values from the calculation:
- Formation enthalpy at 0 K: -0.5 eV per formula unit
- Final energy: -6.3748 eV/atom
- Fermi-level density of states: 2.090 states/eV/atom

# 2
DFT (PBE) results for a relaxed Lu2AlRe crystal.

```
data_Lu2AlRe
_space_group_name_H-M_alt 'R -3 m'
_space_group_IT_number 166
_space_group_name_Hall '-R 3 2"'
_cell_length_a 3.2695
_cell_length_b 3.2695
_cell_length_c 30.8496
_cell_angle_alpha 90.00
_cell_angle_beta 90.00
_cell_angle_gamma 120.00
loop_
_atom_site_label
_atom_site_fract_x
_atom_site_fract_y
_atom_site_fract_z
Lu1 0.0000 0.0000 0.0997
Al1 0.0000 0.0000 0.0000
Re1 0.0000 0.0000 0.5000
```

Values from the calculation:
- Formation enthalpy at 0 K: 1.7 eV per formula unit
- Final energy: -5.8934 eV/atom
- Fermi-level density of states: 0.942 states/eV/atom
- Energy relative to the lowest polymorph listed for this composition: 543.3 meV/atom

# 3
DFT (PBE) results for a relaxed Lu2AlRe crystal.

```
data_Lu2AlRe
_space_group_name_H-M_alt 'F m -3 m'
_space_group_IT_number 225
_space_group_name_Hall '-F 4 2 3'
_cell_length_a 6.878
_cell_length_b 6.878
_cell_length_c 6.878
_cell_angle_alpha 90.00
_cell_angle_beta 90.00
_cell_angle_gamma 90.00
loop_
_atom_site_label
_atom_site_fract_x
_atom_site_fract_y
_atom_site_fract_z
Lu1 0.250 0.250 0.250
Al1 0.000 0.000 0.000
Re1 0.000 0.000 0.500
```

Values from the calculation:
- Formation enthalpy at 0 K: -0.5 eV per formula unit
- Final energy: -6.4367 eV/atom
- Fermi-level density of states: 0.597 states/eV/atom
- Energy relative to the lowest polymorph listed for this composition: 0.0 meV/atom

# 4
DFT (PBE) results for a relaxed LuAl2Re crystal.

```
data_LuAl2Re
_space_group_name_H-M_alt 'R -3 m'
_space_group_IT_number 166
_space_group_name_Hall '-R 3 2"'
_cell_length_a 3.0202
_cell_length_b 3.0202
_cell_length_c 27.8653
_cell_angle_alpha 90.00
_cell_angle_beta 90.00
_cell_angle_gamma 120.00
loop_
_atom_site_label
_atom_site_fract_x
_atom_site_fract_y
_atom_site_fract_z
Lu1 0.0000 0.0000 0.0000
Al1 0.0000 0.0000 0.2379
Re1 0.0000 0.0000 0.5000
```

Values from the calculation:
- Formation enthalpy at 0 K: 0.3 eV per formula unit
- Final energy: -6.0454 eV/atom
- Fermi-level density of states: 0.467 states/eV/atom

# 5
DFT (PBE) results for a relaxed TmLuAlRe crystal.

```
data_TmLuAlRe
_space_group_name_H-M_alt 'F -4 3 m'
_space_group_IT_number 216
_space_group_name_Hall 'F -4 2 3'
_cell_length_a 6.905
_cell_length_b 6.905
_cell_length_c 6.905
_cell_angle_alpha 90.00
_cell_angle_beta 90.00
_cell_angle_gamma 90.00
loop_
_atom_site_label
_atom_site_fract_x
_atom_site_fract_y
_atom_site_fract_z
Tm1 0.000 0.000 0.000
Lu1 0.000 0.000 0.500
Al1 0.250 0.250 0.250
Re1 0.250 0.250 0.750
```

Values from the calculation:
- Formation enthalpy at 0 K: -0.5 eV per formula unit
- Final energy: -6.4084 eV/atom
- Fermi-level density of states: 0.677 states/eV/atom

# 6
DFT (PBE) results for a relaxed LuUAlRe crystal.

```
data_LuUAlRe
_space_group_name_H-M_alt 'F -4 3 m'
_space_group_IT_number 216
_space_group_name_Hall 'F -4 2 3'
_cell_length_a 6.739
_cell_length_b 6.739
_cell_length_c 6.739
_cell_angle_alpha 90.00
_cell_angle_beta 90.00
_cell_angle_gamma 90.00
loop_
_atom_site_label
_atom_site_fract_x
_atom_site_fract_y
_atom_site_fract_z
Lu1 0.000 0.000 0.000
U1 0.250 0.250 0.250
Al1 0.250 0.250 0.750
Re1 0.000 0.000 0.500
```

Values from the calculation:
- Formation enthalpy at 0 K: 0.5 eV per formula unit
- Final energy: -7.8823 eV/atom
- Fermi-level density of states: 1.433 states/eV/atom

# 7
DFT (PBE) results for a relaxed LuZrAlRe crystal.

```
data_LuZrAlRe
_space_group_name_H-M_alt 'F -4 3 m'
_space_group_IT_number 216
_space_group_name_Hall 'F -4 2 3'
_cell_length_a 6.775
_cell_length_b 6.775
_cell_length_c 6.775
_cell_angle_alpha 90.00
_cell_angle_beta 90.00
_cell_angle_gamma 90.00
loop_
_atom_site_label
_atom_site_fract_x
_atom_site_fract_y
_atom_site_fract_z
Lu1 0.000 0.000 0.000
Zr1 0.000 0.000 0.500
Al1 0.250 0.250 0.250
Re1 0.250 0.250 0.750
```

Values from the calculation:
- Formation enthalpy at 0 K: -0.9 eV per formula unit
- Final energy: -7.5507 eV/atom
- Fermi-level density of states: 0.434 states/eV/atom

# 8
DFT (PBE) results for a relaxed LuAlRh2 crystal.

```
data_LuAlRh2
_space_group_name_H-M_alt 'P 4/m m m'
_space_group_IT_number 123
_space_group_name_Hall '-P 4 2'
_cell_length_a 3.205
_cell_length_b 3.205
_cell_length_c 6.299
_cell_angle_alpha 90.00
_cell_angle_beta 90.00
_cell_angle_gamma 90.00
loop_
_atom_site_label
_atom_site_fract_x
_atom_site_fract_y
_atom_site_fract_z
Lu1 0.000 0.000 0.000
Al1 0.000 0.000 0.500
Rh1 0.500 0.500 0.275
```

Values from the calculation:
- Formation enthalpy at 0 K: -4.0 eV per formula unit
- Final energy: -6.7331 eV/atom
- Fermi-level density of states: 0.488 states/eV/atom

Question: formation enthalpy at 0 K of number 7 (LuZrAlRe)?
Answer: -0.9 eV per formula unit